Entry 1:
Li2Ca3Hg3: relaxed, PBE.

**ΔH_f (0 K)**: -311 kJ/mol of formula units
**D(E_F)**: 5.64 states/eV/cell

The structure in POSCAR format:
```
Li2Ca3Hg3
1.0
-1.9462 2.5999 10.0813
1.9462 -2.5999 10.0813
1.9462 2.5999 -10.0813
Li Ca Hg
2 3 3
direct
0.2376 0.2376 0.0000 Li
0.7624 0.7624 0.0000 Li
0.0000 0.0000 0.0000 Ca
0.3727 0.8727 0.5000 Ca
0.6273 0.1273 0.5000 Ca
0.1394 0.6394 0.5000 Hg
0.5000 0.5000 0.0000 Hg
0.8606 0.3606 0.5000 Hg
```

***

Entry 2:
NbHPb2Au: relaxed, PBE.

**Uncorrected energy**: -4.509 eV per atom
**D(E_F)**: 3.85 states/eV/cell

The structure in POSCAR format:
```
NbHPb2Au
1.0
5.1083 0.0000 0.0000
0.0000 5.1083 0.0000
0.0000 0.0000 3.6545
Nb H Pb Au
1 1 2 1
direct
0.0000 0.0000 0.0000 Nb
0.0000 0.0000 0.5000 H
0.0000 0.5000 0.5000 Pb
0.5000 0.0000 0.5000 Pb
0.5000 0.5000 0.0000 Au
```

***

Entry 3:
BaNi2Te: relaxed, PBE.

**Raw formation energy**: -1.49 eV per formula unit
**D(E_F)**: 1.43 states/eV/cell

The structure in POSCAR format:
```
BaNi2Te
1.0
3.8177 -2.2041 0.0000
3.8177 2.2041 0.0000
-2.5333 0.0000 5.5192
Ba Ni Te
1 2 1
direct
0.0000 0.0000 0.0000 Ba
0.1878 0.1878 0.5635 Ni
0.8122 0.8122 0.4365 Ni
0.5000 0.5000 0.5000 Te
```